(1)
A plane-wave DFT calculation with PBE-GGA was carried out for an optimized crystal structure of K5O.

Lattice parameters (Å, degrees): 3.8140 7.9963 11.2603 107.61 90.00 103.80
With the nearest neighbours (Å) after each atom.
Fractional positions:
1 K 0.7612 0.5225 0.3859  2 K 3.81
2 K 0.3653 0.7305 0.8190  2 O 2.69
3 K 0.4385 0.8769 0.1258  2 O 2.69
4 K 0.0560 0.1120 0.5632  2 K 3.81
5 K 0.5830 0.1660 0.9688  2 O 2.67
6 O 0.9627 0.9254 0.9707  6 K 2.67-2.69

Computed properties:
Formation energy (no corrections) ... -0.46 eV/atom
Space-group type ... Cm (8)
Density ... 1.11 g cm⁻³

***

(2)
A plane-wave DFT calculation with PBE-GGA was carried out for an optimized crystal structure of K3O.

Lattice parameters (Å, degrees): 8.0068 10.9658 10.9658 82.34 68.59 68.59
With the nearest neighbours (Å) after each atom.
Fractional positions:
1 K 0.3330 0.9671 0.7847  2 O 2.58
2 K 0.0847 0.0329 0.2153  2 O 2.58
3 K 0.8824 0.7847 0.0329  2 O 2.58
4 K 0.7000 0.2153 0.9671  2 O 2.58
5 K 0.3588 0.5947 0.6985  1 O 2.41
6 K 0.6519 0.4053 0.3015  1 O 2.41
7 K 0.9427 0.6985 0.4053  1 O 2.41
8 K 0.0466 0.3015 0.5947  1 O 2.41
9 K 0.9809 0.9562 0.7201  2 O 2.60-2.61
10 K 0.6572 0.0438 0.2799  2 O 2.60-2.61
11 K 0.2990 0.7201 0.0438  2 O 2.60-2.61
12 K 0.0629 0.2799 0.9562  2 O 2.60-2.61
13 O 0.0286 0.1583 0.7828  5 K 2.41-2.61
14 O 0.9697 0.8417 0.2172  5 K 2.41-2.61
15 O 0.1887 0.7828 0.8417  5 K 2.41-2.61
16 O 0.8131 0.2172 0.1583  5 K 2.41-2.61

Computed properties:
Formation energy (no corrections) ... -0.71 eV/atom
Space-group type ... I-4 (82)
Density ... 1.06 g cm⁻³

***

(3)
A plane-wave DFT calculation with PBE-GGA was carried out for an optimized crystal structure of KO.

Lattice parameters (Å, degrees): 7.4628 7.4628 7.4628 90.00 90.00 90.00
With the nearest neighbours (Å) after each atom.
Fractional positions:
1 K 0.2500 0.0000 0.5000  4 O 2.64
2 K 0.7500 0.0000 0.5000  4 O 2.64
3 K 0.0000 0.5000 0.2500  4 O 2.64
4 K 0.0000 0.5000 0.7500  4 O 2.64
5 K 0.5000 0.2500 0.0000  4 O 2.64
6 K 0.5000 0.7500 0.0000  4 O 2.64
7 O 0.2500 0.5000 0.0000  4 K 2.64
8 O 0.7500 0.5000 0.0000  4 K 2.64
9 O 0.5000 0.0000 0.2500  4 K 2.64
10 O 0.5000 0.0000 0.7500  4 K 2.64
11 O 0.0000 0.2500 0.5000  4 K 2.64
12 O 0.0000 0.7500 0.5000  4 K 2.64

Computed properties:
Formation energy (no corrections) ... -0.50 eV/atom
Space-group type ... Pm-3n (223)
Density ... 1.32 g cm⁻³

***

Summary of VASP energy in eV/atom
-2.196 -2.771 -3.529
(order as listed above)